# Tm6Tc2Ge | the Alexandria database | PBE-GGA | optimized geometry
data_Tm6Tc2Ge
_chemical_formula_sum 'Tm12 Tc4 Ge2'
_space_group_name_H-M_alt 'P 1'
_space_group_IT_number 1
_space_group_name_Hall 'P 1'
_cell_length_a 8.315
_cell_length_b 8.315
_cell_length_c 8.315
_cell_angle_alpha 104.49
_cell_angle_beta 112.12
_cell_angle_gamma 111.91
loop_
_atom_site_label
_atom_site_type_symbol
_atom_site_fract_x
_atom_site_fract_y
_atom_site_fract_z
Ge1 Ge 0.000 0.500 0.500
Tc1 Tc 0.676 0.000 0.676
Tm1 Tm 0.312 0.648 0.336
Tm2 Tm 0.799 0.250 0.049
Tm3 Tm 0.548 0.728 0.819
Tm4 Tm 0.312 0.976 0.664
Tm5 Tm 0.799 0.750 0.550
Tm6 Tm 0.909 0.728 0.181
Tm7 Tm 0.201 0.250 0.450
Tm8 Tm 0.201 0.750 0.951
Ge2 Ge 0.000 0.000 0.000
Tc2 Tc 0.500 0.618 0.118
Tc3 Tc 0.324 0.000 0.324
Tc4 Tc 0.500 0.382 0.882
Tm9 Tm 0.688 0.352 0.664
Tm10 Tm 0.091 0.272 0.819
Tm11 Tm 0.688 0.024 0.336
Tm12 Tm 0.452 0.272 0.181
# VASP energy, eV per atom: -6.0724
# Formation energy from the elements, eV/atom: -0.27
# DOS(E_F), states/eV/atom: 0.911

# BaMgAg2Cl | the Alexandria database | PBE-GGA | optimized geometry
data_BaMgAg2Cl
_chemical_formula_sum 'Ba1 Mg1 Ag2 Cl1'
_space_group_name_H-M_alt 'P 1'
_space_group_IT_number 1
_space_group_name_Hall 'P 1'
_cell_length_a 5.244
_cell_length_b 5.268
_cell_length_c 5.244
_cell_angle_alpha 90.00
_cell_angle_beta 90.00
_cell_angle_gamma 90.00
loop_
_atom_site_label
_atom_site_type_symbol
_atom_site_fract_x
_atom_site_fract_y
_atom_site_fract_z
Mg1 Mg 0.000 0.000 0.000
Cl1 Cl 0.000 0.500 0.000
Ag1 Ag 0.000 0.000 0.500
Ba1 Ba 0.500 0.500 0.500
Ag2 Ag 0.500 0.000 0.000
# VASP energy, eV per atom: -2.7147
# Uncorrected formation energy, eV per formula unit: -2.5
# DOS(E_F), states/eV/atom: 0.543

# CsLaFeTc2 | the Alexandria database | PBE-GGA | optimized geometry
data_CsLaFeTc2
_chemical_formula_sum 'Cs1 La1 Fe1 Tc2'
_space_group_name_H-M_alt 'P 1'
_space_group_IT_number 1
_space_group_name_Hall 'P 1'
_cell_length_a 4.943
_cell_length_b 5.691
_cell_length_c 4.943
_cell_angle_alpha 90.00
_cell_angle_beta 90.00
_cell_angle_gamma 90.00
loop_
_atom_site_label
_atom_site_type_symbol
_atom_site_fract_x
_atom_site_fract_y
_atom_site_fract_z
La1 La 0.000 0.500 0.000
Fe1 Fe 0.500 0.500 0.500
Cs1 Cs 0.000 0.000 0.000
Tc1 Tc 0.000 0.000 0.500
Tc2 Tc 0.500 0.000 0.000
# VASP energy, eV per atom: -4.3549
# Formation energy from the elements, eV/atom: 2.64
# DOS(E_F), states/eV/atom: 1.568

# BaTiF2 | the Alexandria database | PBE-GGA | optimized geometry
data_BaTiF2
_chemical_formula_sum 'Ba1 Ti1 F2'
_space_group_name_H-M_alt 'P 1'
_space_group_IT_number 1
_space_group_name_Hall 'P 1'
_cell_length_a 6.818
_cell_length_b 6.818
_cell_length_c 6.818
_cell_angle_alpha 32.67
_cell_angle_beta 32.67
_cell_angle_gamma 32.67
loop_
_atom_site_label
_atom_site_type_symbol
_atom_site_fract_x
_atom_site_fract_y
_atom_site_fract_z
Ba1 Ba 0.000 0.000 0.000
F1 F 0.136 0.136 0.136
F2 F 0.864 0.864 0.864
Ti1 Ti 0.500 0.500 0.500
# VASP energy, eV per atom: -5.3254
# Uncorrected formation energy, eV per formula unit: -7.7
# DOS(E_F), states/eV/atom: 0.601

# Tb3SmRh2 | the Alexandria database | PBE-GGA | optimized geometry
data_Tb3SmRh2
_chemical_formula_sum 'Tb6 Sm2 Rh4'
_space_group_name_H-M_alt 'P 1'
_space_group_IT_number 1
_space_group_name_Hall 'P 1'
_cell_length_a 4.771
_cell_length_b 7.195
_cell_length_c 8.725
_cell_angle_alpha 90.00
_cell_angle_beta 90.00
_cell_angle_gamma 90.00
loop_
_atom_site_label
_atom_site_type_symbol
_atom_site_fract_x
_atom_site_fract_y
_atom_site_fract_z
Tb1 Tb 0.000 0.489 0.916
Rh1 Rh 0.500 0.745 0.838
Tb2 Tb 0.000 0.989 0.084
Tb3 Tb 0.500 0.641 0.164
Rh2 Rh 0.000 0.255 0.666
Tb4 Tb 0.500 0.141 0.836
Tb5 Tb 0.000 0.360 0.332
Tb6 Tb 0.000 0.860 0.668
Sm1 Sm 0.500 0.011 0.416
Rh3 Rh 0.500 0.245 0.162
Sm2 Sm 0.500 0.511 0.584
Rh4 Rh 0.000 0.755 0.334
# VASP energy, eV per atom: -6.1811
# Formation energy from the elements, eV/atom: -0.63
# DOS(E_F), states/eV/atom: 0.946

# Tl7Bi2Au | the Alexandria database | PBE-GGA | optimized geometry
data_Tl7Bi2Au
_chemical_formula_sum 'Tl14 Bi4 Au2'
_space_group_name_H-M_alt 'P 1'
_space_group_IT_number 1
_space_group_name_Hall 'P 1'
_cell_length_a 9.007
_cell_length_b 9.962
_cell_length_c 9.278
_cell_angle_alpha 65.38
_cell_angle_beta 60.96
_cell_angle_gamma 63.12
loop_
_atom_site_label
_atom_site_type_symbol
_atom_site_fract_x
_atom_site_fract_y
_atom_site_fract_z
Tl1 Tl 0.939 0.024 0.350
Tl2 Tl 0.249 0.901 0.928
Bi1 Bi 0.320 0.117 0.241
Tl3 Tl 0.077 0.599 0.572
Tl4 Tl 0.887 0.686 0.033
Tl5 Tl 0.418 0.750 0.250
Au1 Au 0.007 0.250 0.750
Tl6 Tl 0.606 0.814 0.467
Tl7 Tl 0.313 0.476 0.150
Tl8 Tl 0.113 0.314 0.967
Bi2 Bi 0.680 0.883 0.759
Au2 Au 0.993 0.750 0.250
Tl9 Tl 0.923 0.401 0.428
Tl10 Tl 0.394 0.186 0.533
Bi3 Bi 0.679 0.383 0.259
Tl11 Tl 0.061 0.976 0.650
Tl12 Tl 0.582 0.250 0.750
Bi4 Bi 0.321 0.617 0.741
Tl13 Tl 0.687 0.524 0.850
Tl14 Tl 0.751 0.099 0.072
# VASP energy, eV per atom: -2.7705
# Formation energy from the elements, eV/atom: -0.01
# DOS(E_F), states/eV/atom: 0.361